(1)
7
Lattice="-2.485 -0.638 4.608 -3.597 0.446 -3.831 3.117 -4.169 -0.848" Properties=species:S:1:pos:R:3 comment="HfAl2Ir4, optimized geometry, DFT PBE" mass_density_g_cm3=14.73 dft_energy_ev_per_atom=-8.121 m_tot_mub_per_cell=0.00 spacegroup=I4/mmm dos_ef_per_ev_cell=4.78 delta_e_f_kj_per_mol_fu=-383 pbc="T T T"
Al 0.316 -2.403 1.880
Al -3.041 -0.096 0.389
Ir -1.799 0.223 -1.915
Ir -1.483 -2.180 -0.035
Ir 1.558 -2.084 -0.424
Ir -1.243 -0.319 2.304
Hf 0.000 0.000 0.000

***

(2)
4
Lattice="2.856 0.000 0.000 0.000 2.856 0.000 0.000 0.000 9.108" Properties=species:S:1:pos:R:3 comment="CrPtSe2, optimized geometry, DFT PBE" de_polymorph_mev_per_atom=270.9 mass_density_g_cm3=9.05 dft_energy_ev_per_atom=-5.679 m_tot_mub_per_cell=0.20 spacegroup=P4mm dos_ef_per_ev_cell=2.43 raw_formation_energy_ev_per_atom=-0.02 pbc="T T T"
Se 1.428 1.428 3.181
Se 0.000 0.000 8.543
Cr 0.000 0.000 4.644
Pt 1.428 1.428 6.402

***

(3)
5
Lattice="-1.744 -2.364 2.880 3.301 -2.456 -0.017 2.322 3.094 3.946" Properties=species:S:1:pos:R:3 comment="NaAuSeN2, optimized geometry, DFT PBE" de_polymorph_mev_per_atom=0.0 mass_density_g_cm3=5.80 dft_energy_ev_per_atom=-3.562 m_tot_mub_per_cell=0.51 spacegroup=P4/mmm dos_ef_per_ev_cell=5.64 raw_formation_energy_ev_per_atom=1.38 pbc="T T T"
Se 1.161 1.547 1.973
N -0.872 -1.182 1.440
N 1.651 -1.228 -0.008
Na 1.939 -0.863 3.405
Au 0.000 0.000 0.000